1.
DFT (PBE) results for a geometry-optimized MgGa2GeW structure.

Properties
**Total energy**: -4.15 eV per atom

POSCAR file:
```
MgGa2GeW
1.0
4.912 0.000 0.000
0.000 4.912 0.000
0.000 0.000 5.166
Mg Ga Ge W
1 2 1 1
direct
0.000 0.000 0.000 Mg
0.000 0.500 0.500 Ga
0.500 0.000 0.500 Ga
0.500 0.500 0.000 Ge
0.000 0.000 0.500 W
```

2.
DFT (PBE) results for a geometry-optimized TcS2F5 structure.

Properties
**Raw formation energy**: -1.35 eV/atom

POSCAR file:
```
TcS2F5
1.0
-4.244 4.462 2.113
4.244 -4.462 2.113
4.244 4.462 -2.113
Tc S F
1 2 5
direct
0.000 0.000 0.000 Tc
0.274 0.774 0.500 S
0.714 0.214 0.500 S
0.149 0.158 0.307 F
0.149 0.842 0.991 F
0.500 0.500 0.000 F
0.851 0.158 0.009 F
0.851 0.842 0.693 F
```

3.
DFT (PBE) results for a geometry-optimized Rb2HgTe2 structure.

Properties
**Raw formation energy**: -0.73 eV/atom

POSCAR file:
```
Rb2HgTe2
1.0
-3.604 3.604 6.968
3.604 -3.604 6.968
3.604 3.604 -6.968
Rb Hg Te
2 1 2
direct
0.250 0.750 0.500 Rb
0.750 0.250 0.500 Rb
0.000 0.000 0.000 Hg
0.190 0.190 0.000 Te
0.810 0.810 0.000 Te
```

4.
DFT (PBE) results for a geometry-optimized CsTe2WN structure.

Properties
**E above lowest polymorph**: 0 kJ/mol of formula units
**Raw formation energy**: 0.07 eV/atom

POSCAR file:
```
CsTe2WN
1.0
5.789 0.000 0.000
0.000 5.789 0.000
0.000 0.000 3.907
Cs Te W N
1 2 1 1
direct
0.000 0.000 0.000 Cs
0.000 0.500 0.500 Te
0.500 0.000 0.500 Te
0.500 0.500 0.500 W
0.500 0.500 0.000 N
```

5.
DFT (PBE) results for a geometry-optimized CrN structure.

Properties
**Raw formation energy**: -0.28 eV/atom

POSCAR file:
```
CrN
1.0
4.841 0.000 0.000
0.000 5.007 0.000
0.000 0.000 6.771
Cr N
8 8
direct
0.131 0.095 0.271 Cr
0.168 0.367 0.957 Cr
0.332 0.633 0.457 Cr
0.369 0.905 0.771 Cr
0.631 0.405 0.729 Cr
0.668 0.133 0.043 Cr
0.832 0.867 0.543 Cr
0.869 0.595 0.229 Cr
0.225 0.990 0.525 N
0.233 0.468 0.220 N
0.267 0.532 0.720 N
0.275 0.010 0.025 N
0.725 0.510 0.475 N
0.733 0.032 0.780 N
0.767 0.968 0.280 N
0.775 0.490 0.975 N
```

6.
DFT (PBE) results for a geometry-optimized CaNbCu structure.

Properties
**E above lowest polymorph**: 0 kJ/mol of formula units

POSCAR file:
```
CaNbCu
1.0
8.739 -2.190 0.000
8.739 2.190 0.000
-0.671 0.000 3.381
Ca Nb Cu
2 2 2
direct
0.175 0.175 0.173 Ca
0.825 0.825 0.827 Ca
0.000 0.000 0.500 Nb
0.500 0.500 0.000 Nb
0.381 0.381 0.383 Cu
0.619 0.619 0.617 Cu
```